Here is a relaxed structure of LaTb7Nd4 from Alexandria. Energies are from PBE.

Computed properties:
Density: 7.3 g cm⁻³
Polymorph energy (0 for the lowest one): 230 meV per atom
Crystal system: monoclinic
Formation energy: 0.2432 eV per atom
N(E_F): 19.44 states/eV per cell
Space-group type: C2/m (12)
Final energy: -53.49 eV for the cell shown

a b c (Å): 5.9909 11.7571 6.8046
angles (deg): 83.26 63.88 75.24
Positions (direct):
La1 0.0000 0.0000 0.0000
Tb1 0.7898 0.9227 0.4977
Tb2 0.2102 0.0773 0.5023
Tb3 0.0635 0.6745 0.1986
Tb4 0.9365 0.3255 0.8014
Tb5 0.3675 0.4995 0.7654
Tb6 0.5000 0.0000 0.0000
Tb7 0.6325 0.5005 0.2346
Nd1 0.6333 0.2236 0.5097
Nd2 0.3667 0.7764 0.4903
Nd3 0.7621 0.6758 0.8000
Nd4 0.2379 0.3242 0.2000